Density functional theory data (PBE-GGA) for crystalline Li5GeCl8 at its relaxed geometry.

abc: 7.531 7.531 7.531
angles: 60.00 60.00 60.00
Fractional coordinates of all 14 atoms:
Cl  0.866  0.378  0.378
Cl  0.870  0.870  0.391
Cl  0.391  0.870  0.870
Cl  0.378  0.378  0.866
Cl  0.870  0.870  0.870
Cl  0.378  0.866  0.378
Cl  0.378  0.378  0.378
Cl  0.870  0.391  0.870
Ge  0.250  0.250  0.250
Li  0.000  0.000  0.000
Li  0.643  0.643  0.070
Li  0.070  0.643  0.643
Li  0.643  0.070  0.643
Li  0.643  0.643  0.643

Properties
formation energy (no corrections)	-1442	meV per atom


Density functional theory data (PBE-GGA) for crystalline Pr2As3Pd4Au at its relaxed geometry.

abc: 4.320 4.320 10.720
angles: 90.00 90.00 90.00
Fractional coordinates of all 10 atoms:
Pr  0.000  0.500  0.757
Pr  0.500  0.000  0.243
As  0.500  0.000  0.870
As  0.000  0.500  0.130
As  0.000  0.000  0.500
Au  0.500  0.500  0.500
Pd  0.500  0.000  0.645
Pd  0.000  0.500  0.355
Pd  0.500  0.500  0.000
Pd  0.000  0.000  0.000


Density functional theory data (PBE-GGA) for crystalline K3Sm3TeS8 at its relaxed geometry.

abc: 8.178 8.178 8.857
angles: 117.51 90.00 120.00
Fractional coordinates of all 15 atoms:
Te  0.000  0.000  0.500
S  0.747  0.972  0.697
S  0.225  0.451  0.697
S  0.735  0.469  0.704
S  0.265  0.531  0.296
S  0.775  0.549  0.303
S  0.253  0.028  0.303
S  0.775  0.028  0.303
S  0.225  0.972  0.697
Sm  0.500  0.500  0.500
Sm  0.500  0.000  0.500
Sm  0.000  0.500  0.500
K  0.000  0.500  0.000
K  0.500  0.500  0.000
K  0.000  0.000  0.000

Properties
formation energy (no corrections)	-1486	meV per atom


Density functional theory data (PBE-GGA) for crystalline Na4SeI2 at its relaxed geometry.

abc: 4.574 8.084 8.084
angles: 109.93 90.00 90.00
Fractional coordinates of all 7 atoms:
I  0.500  0.000  0.500
I  0.500  0.500  0.000
Na  0.000  0.790  0.210
Na  0.500  0.180  0.180
Na  0.500  0.820  0.820
Na  0.000  0.210  0.790
Se  0.000  0.000  0.000

Properties
distance to the lowest polymorph of the same formula	2	meV per atom
formation energy (no corrections)	-1104	meV per atom


Density functional theory data (PBE-GGA) for crystalline YTiI2 at its relaxed geometry.

abc: 5.260 5.260 10.070
angles: 74.86 74.86 90.00
Fractional coordinates of all 8 atoms:
Ti  0.250  0.750  0.500
Ti  0.500  0.500  0.000
I  0.875  0.859  0.750
I  0.141  0.625  0.250
I  0.609  0.125  0.250
I  0.375  0.391  0.750
Y  0.750  0.250  0.500
Y  0.000  0.000  0.000

Properties
distance to the lowest polymorph of the same formula	88	meV per atom
formation energy (no corrections)	-75	meV per atom


Density functional theory data (PBE-GGA) for crystalline GaO2F at its relaxed geometry.

abc: 3.718 3.718 3.718
angles: 60.00 60.00 60.00
Fractional coordinates of all 4 atoms:
O  0.250  0.250  0.250
O  0.750  0.750  0.750
Ga  0.500  0.500  0.500
F  0.000  0.000  0.000

Properties
distance to the lowest polymorph of the same formula	480	meV per atom
formation energy (no corrections)	-192	meV per atom


Density functional theory data (PBE-GGA) for crystalline MnMoS at its relaxed geometry.

abc: 6.215 3.091 8.714
angles: 90.00 101.77 90.00
Fractional coordinates of all 12 atoms:
S  0.670  0.500  0.920
S  0.227  0.500  0.553
S  0.227  0.000  0.053
S  0.670  0.000  0.420
Mo  0.259  0.500  0.839
Mo  0.535  0.000  0.669
Mo  0.535  0.500  0.169
Mo  0.259  0.000  0.339
Mn  0.914  0.500  0.362
Mn  0.914  0.000  0.862
Mn  0.874  0.000  0.142
Mn  0.874  0.500  0.642

Properties
distance to the lowest polymorph of the same formula	43	meV per atom
formation energy (no corrections)	-168	meV per atom


Density functional theory data (PBE-GGA) for crystalline Hf6Hg2N at its relaxed geometry.

abc: 5.942 6.112 9.827
angles: 90.00 92.07 90.00
Fractional coordinates of all 18 atoms:
N  0.500  0.500  0.000
N  0.000  0.000  0.500
Hg  0.080  0.576  0.248
Hg  0.580  0.924  0.748
Hg  0.420  0.076  0.252
Hg  0.920  0.424  0.752
Hf  0.323  0.815  0.016
Hf  0.589  0.515  0.238
Hf  0.677  0.185  0.984
Hf  0.825  0.694  0.983
Hf  0.411  0.485  0.762
Hf  0.911  0.015  0.262
Hf  0.177  0.315  0.484
Hf  0.175  0.306  0.017
Hf  0.089  0.985  0.738
Hf  0.325  0.806  0.483
Hf  0.675  0.194  0.517
Hf  0.823  0.685  0.516

Properties
formation energy (no corrections)	-333	meV per atom


Values of electronic total energy, in order: -49.1, -55.4, -75.9, -19.6, -35.5, -15.6, -98.5, -143.3, all in eV/cell.